1.
# PmZrCuRu, relaxed, DFT PBE
data_PmZrCuRu
_chemical_formula_sum 'Pm4 Zr4 Cu4 Ru4'
_space_group_name_H-M_alt 'F -4 3 m'
_space_group_IT_number 216
_space_group_name_Hall 'F -4 2 3'
_cell_length_a 6.807
_cell_length_b 6.807
_cell_length_c 6.807
_cell_angle_alpha 90.00
_cell_angle_beta 90.00
_cell_angle_gamma 90.00
loop_
_atom_site_label
_atom_site_type_symbol
_atom_site_fract_x
_atom_site_fract_y
_atom_site_fract_z
Pm1 Pm 0.000 0.000 0.000
Zr1 Zr 0.000 0.000 0.500
Cu1 Cu 0.250 0.250 0.750
Ru1 Ru 0.250 0.250 0.250
# calculated formation energy: -69 kJ/mol of formula units
# crystal system: cubic

---

2.
# GaPS4, relaxed, DFT PBE
data_GaPS4
_chemical_formula_sum 'Ga4 P4 S16'
_space_group_name_H-M_alt 'P 1 21/c 1'
_space_group_IT_number 14
_space_group_name_Hall '-P 2ybc'
_cell_length_a 8.676
_cell_length_b 8.223
_cell_length_c 12.094
_cell_angle_alpha 90.00
_cell_angle_beta 130.56
_cell_angle_gamma 90.00
loop_
_atom_site_label
_atom_site_type_symbol
_atom_site_fract_x
_atom_site_fract_y
_atom_site_fract_z
Ga1 Ga 0.111 0.045 0.383
P1 P 0.131 0.227 0.652
S1 S 0.181 0.717 0.976
S2 S 0.231 0.237 0.038
S3 S 0.232 0.013 0.770
S4 S 0.258 0.066 0.279
# uncorrected formation energy: -0.418 eV per atom
# crystal system: monoclinic

---

3.
# BeIrAu, relaxed, DFT PBE
data_BeIrAu
_chemical_formula_sum 'Be4 Ir4 Au4'
_space_group_name_H-M_alt 'F m m 2'
_space_group_IT_number 42
_space_group_name_Hall 'F 2 -2'
_cell_length_a 2.864
_cell_length_b 4.703
_cell_length_c 12.558
_cell_angle_alpha 90.00
_cell_angle_beta 90.00
_cell_angle_gamma 90.00
loop_
_atom_site_label
_atom_site_type_symbol
_atom_site_fract_x
_atom_site_fract_y
_atom_site_fract_z
Be1 Be 0.000 0.000 0.000
Ir1 Ir 0.000 0.000 0.364
Au1 Au 0.000 0.000 0.657
# calculated formation energy: -9 kJ/mol of formula units
# crystal system: orthorhombic
# excess energy over the best structure of this formula in the dataset: 97 meV per atom

---

4.
# OsS2F, relaxed, DFT PBE
data_OsS2F
_chemical_formula_sum 'Os3 S6 F3'
_space_group_name_H-M_alt 'R -3 m'
_space_group_IT_number 166
_space_group_name_Hall '-R 3 2"'
_cell_length_a 2.7405
_cell_length_b 2.7405
_cell_length_c 25.3841
_cell_angle_alpha 90.00
_cell_angle_beta 90.00
_cell_angle_gamma 120.00
loop_
_atom_site_label
_atom_site_type_symbol
_atom_site_fract_x
_atom_site_fract_y
_atom_site_fract_z
Os1 Os 0.0000 0.0000 0.0000
S1 S 0.0000 0.0000 0.0892
F1 F 0.0000 0.0000 0.5000
# uncorrected formation energy: 0.362 eV per atom
# crystal system: trigonal
# excess energy over the best structure of this formula in the dataset: 701 meV per atom

---

5.
# TeIO2, relaxed, DFT PBE
data_TeIO2
_chemical_formula_sum 'Te3 I3 O6'
_space_group_name_H-M_alt 'R -3 m'
_space_group_IT_number 166
_space_group_name_Hall '-R 3 2"'
_cell_length_a 3.8192
_cell_length_b 3.8192
_cell_length_c 18.3544
_cell_angle_alpha 90.00
_cell_angle_beta 90.00
_cell_angle_gamma 120.00
loop_
_atom_site_label
_atom_site_type_symbol
_atom_site_fract_x
_atom_site_fract_y
_atom_site_fract_z
Te1 Te 0.0000 0.0000 0.0000
I1 I 0.0000 0.0000 0.5000
O1 O 0.0000 0.0000 0.3787
# uncorrected formation energy: -0.197 eV per atom
# crystal system: trigonal
# excess energy over the best structure of this formula in the dataset: 123 meV per atom

---

6.
# La2TbI, relaxed, DFT PBE
data_La2TbI
_chemical_formula_sum 'La2 Tb1 I1'
_space_group_name_H-M_alt 'P 4/m m m'
_space_group_IT_number 123
_space_group_name_Hall '-P 4 2'
_cell_length_a 3.761
_cell_length_b 3.761
_cell_length_c 9.845
_cell_angle_alpha 90.00
_cell_angle_beta 90.00
_cell_angle_gamma 90.00
loop_
_atom_site_label
_atom_site_type_symbol
_atom_site_fract_x
_atom_site_fract_y
_atom_site_fract_z
La1 La 0.000 0.000 0.242
Tb1 Tb 0.500 0.500 0.500
I1 I 0.500 0.500 0.000
# uncorrected formation energy: -0.384 eV per atom
# crystal system: tetragonal
# excess energy over the best structure of this formula in the dataset: 41 meV per atom

---

| no. | N(E_F) (states/eV/cell) |
| --- | --- |
| 1 | 17.4 |
| 2 | 0.0 |
| 3 | 6.7 |
| 4 | 11.4 |
| 5 | 8.7 |
| 6 | 4.2 |